[1]
A relaxed structure of BaDy2PdS4. Source: Alexandria via LeMat-Bulk, functional PBE.

Calculated values
- Mass density: 6.168 g/cm3
- Calculated volume: 23.46 Å³/atom
- Total magnetization: 0.00 μB/f.u.
- E_tot: -5.950 eV per atom

extended XYZ file:
```
16
Lattice="2.0183 -6.7344 0.0000 2.0183 6.7344 0.0000 0.0000 0.0000 13.8050" Properties=species:S:1:pos:R:3 pbc="T T T"
Ba 2.0183 5.1808 10.3537
Ba 2.0183 -5.1808 3.4512
Dy 2.0183 1.7941 7.8655
Dy 2.0183 1.7941 12.8420
Dy 2.0183 -1.7941 0.9630
Dy 2.0183 -1.7941 5.9395
Pd 2.0183 4.6188 3.4512
Pd 2.0183 -4.6188 10.3537
S 0.0000 0.0000 0.0000
S 0.0000 0.0000 6.9025
S 2.0183 3.1272 1.4751
S 2.0183 3.1272 5.4274
S 2.0183 0.7098 10.3537
S 2.0183 -0.7098 3.4512
S 2.0183 -3.1272 8.3776
S 2.0183 -3.1272 12.3299
```


[2]
A relaxed structure of Na5Ge2Te6. Source: Alexandria via LeMat-Bulk, functional PBE.

Calculated values
- Mass density: 4.045 g/cm3
- Calculated volume: 32.39 Å³/atom
- Total magnetization: 0.00 μB/f.u.
- E_tot: -3.236 eV per atom

extended XYZ file:
```
26
Lattice="12.5376 0.0000 0.0000 0.0000 14.4648 0.0000 0.0000 0.0000 4.6441" Properties=species:S:1:pos:R:3 pbc="T T T"
Na 0.0000 0.0000 0.0000
Na 0.6046 3.7084 0.0000
Na 2.3868 7.6372 0.0000
Na 3.8820 0.4048 0.0000
Na 5.6642 10.9408 0.0000
Na 6.2688 7.2324 0.0000
Na 6.8734 3.5240 0.0000
Na 8.6557 14.0600 0.0000
Na 10.1508 6.8276 0.0000
Na 11.9331 10.7564 0.0000
Ge 2.5525 10.4360 2.3221
Ge 3.7163 3.2036 2.3221
Ge 8.8214 11.2611 2.3221
Ge 9.9851 4.0288 2.3221
Te 0.4815 8.8053 2.3221
Te 1.6012 1.6012 2.3221
Te 2.5368 11.9488 0.0000
Te 3.7320 4.7164 0.0000
Te 4.6676 8.8336 2.3221
Te 5.7873 1.5729 2.3221
Te 6.7504 12.8919 2.3221
Te 7.8700 5.6312 2.3221
Te 8.8057 9.7483 0.0000
Te 10.0008 2.5160 0.0000
Te 10.9365 12.8636 2.3221
Te 12.0561 5.6595 2.3221
```


[3]
A relaxed structure of HoSiNi. Source: Alexandria via LeMat-Bulk, functional PBE.

Calculated values
- Mass density: 8.235 g/cm3
- Calculated volume: 16.92 Å³/atom
- Total magnetization: 0.00 μB/f.u.
- E_tot: -6.086 eV per atom

extended XYZ file:
```
18
Lattice="-2.0743 10.2894 3.5672 2.0743 -10.2894 3.5672 2.0743 10.2894 -3.5672" Properties=species:S:1:pos:R:3 pbc="T T T"
Ho 0.0000 0.0000 0.0000
Ho 2.0743 -6.9000 2.8927
Ho 2.0743 -3.4932 3.5478
Ho 2.0743 0.0000 2.9418
Ho 2.0743 3.4932 3.5478
Ho 2.0743 6.9000 2.8927
Si 2.0743 8.2371 -1.4835
Si 2.0743 4.7477 0.8051
Si 0.0000 2.0522 2.0837
Si 0.0000 8.9658 2.0744
Si 0.0000 11.6130 2.0744
Si 0.0000 5.5417 4.3722
Ni 2.0743 -2.1952 0.8640
Ni 2.0743 5.5600 -1.5511
Ni 2.0743 2.1952 0.8640
Ni 0.0000 4.7294 2.0160
Ni 2.0743 8.8195 0.8700
Ni 0.0000 1.4698 4.4371
```


[4]
A relaxed structure of La3PrAl2. Source: Alexandria via LeMat-Bulk, functional PBE.

Calculated values
- Mass density: 5.714 g/cm3
- Energy above the lowest structure with this stoichiometry: 1.59 kcal/mol of atoms
- Calculated volume: 29.62 Å³/atom
- Total magnetization: 0.00 μB/f.u.
- DFT formation energy: -187 meV per atom

extended XYZ file:
```
12
Lattice="9.2606 -2.4666 0.0000 9.2606 2.4666 0.0000 -3.6427 0.0000 7.7803" Properties=species:S:1:pos:R:3 pbc="T T T"
La 0.4926 0.0000 1.5472
La 3.7313 0.0000 3.9242
La 3.4642 0.0000 7.5034
La 11.4143 0.0000 0.2769
La 11.1472 0.0000 3.8561
La 14.3859 0.0000 6.2331
Pr -0.3845 0.0000 5.3221
Pr 15.2630 0.0000 2.4582
Al 4.1141 0.0000 0.7631
Al 6.7240 0.0000 4.9934
Al 8.1545 0.0000 2.7869
Al 10.7644 0.0000 7.0172
```


[5]
A relaxed structure of LiCd6Bi2. Source: Alexandria via LeMat-Bulk, functional PBE.

Calculated values
- Mass density: 8.247 g/cm3
- Calculated volume: 24.60 Å³/atom
- Total magnetization: 0.00 μB/f.u.
- DFT formation energy: -47 meV per atom

extended XYZ file:
```
9
Lattice="6.9642 -2.3186 0.0000 6.9642 2.3186 0.0000 -2.7371 0.0000 6.8542" Properties=species:S:1:pos:R:3 pbc="T T T"
Li 0.0000 0.0000 0.0000
Cd -0.4093 0.0000 4.6604
Cd 2.3188 0.0000 2.0988
Cd 4.5551 0.0000 0.0474
Cd 6.6363 0.0000 6.8068
Cd 8.8726 0.0000 4.7554
Cd 11.6007 0.0000 2.1938
Bi 4.0862 0.0000 4.7053
Bi 7.1051 0.0000 2.1489
```


[6]
A relaxed structure of PmAlSi2Ni5. Source: Alexandria via LeMat-Bulk, functional PBE.

Calculated values
- Mass density: 6.104 g/cm3
- Calculated volume: 15.77 Å³/atom
- Total magnetization: 0.00 μB/f.u.
- E_tot: -5.677 eV per atom

extended XYZ file:
```
9
Lattice="3.7919 0.0000 0.0000 0.0000 3.7919 0.0000 0.0000 0.0000 9.8685" Properties=species:S:1:pos:R:3 pbc="T T T"
Pm 0.0000 0.0000 0.0000
Al 0.0000 0.0000 4.9343
Si 1.8959 1.8959 2.2011
Si 1.8959 1.8959 7.6674
Ni 0.0000 1.8959 3.4361
Ni 0.0000 1.8959 6.4324
Ni 1.8959 0.0000 3.4361
Ni 1.8959 0.0000 6.4324
Ni 1.8959 1.8959 0.0000
```


[7]
A relaxed structure of Eu2CuAs. Source: Alexandria via LeMat-Bulk, functional PBE.

Calculated values
- Mass density: 7.448 g/cm3
- Energy above the lowest structure with this stoichiometry: 0.90 kcal/mol of atoms
- Calculated volume: 24.66 Å³/atom
- Total magnetization: 13.90 μB/f.u.
- DFT formation energy: -626 meV per atom

extended XYZ file:
```
4
Lattice="5.0714 0.0000 0.0000 0.0000 5.0714 0.0000 0.0000 0.0000 3.8350" Properties=species:S:1:pos:R:3 pbc="T T T"
Eu 0.0000 2.5357 0.0000
Eu 2.5357 0.0000 0.0000
Cu 0.0000 0.0000 1.9175
As 2.5357 2.5357 1.9175
```


[8]
A relaxed structure of K2InOs. Source: Alexandria via LeMat-Bulk, functional PBE.

Calculated values
- Mass density: 6.307 g/cm3
- Calculated volume: 25.22 Å³/atom
- Total magnetization: 0.51 μB/f.u.
- DFT formation energy: 960 meV per atom

extended XYZ file:
```
4
Lattice="2.9393 0.0000 0.0000 0.0000 2.9393 0.0000 0.0000 0.0000 11.6789" Properties=species:S:1:pos:R:3 pbc="T T T"
K 0.0000 0.0000 2.6358
K 0.0000 0.0000 9.0431
In 1.4696 1.4696 5.8395
Os 1.4696 1.4696 0.0000
```


[9]
A relaxed structure of BaSi2BiO6. Source: Alexandria via LeMat-Bulk, functional PBE.

Calculated values
- Mass density: 5.540 g/cm3
- Calculated volume: 14.94 Å³/atom
- Total magnetization: 0.00 μB/f.u.
- E_tot: -7.054 eV per atom

extended XYZ file:
```
20
Lattice="5.5279 -5.0481 0.0000 5.5279 5.0481 0.0000 -0.0081 0.0000 5.3545" Properties=species:S:1:pos:R:3 pbc="T T T"
Ba 5.5218 3.1516 4.0159
Ba 5.5259 -3.1516 1.3386
Si 2.2752 0.9033 4.0147
Si 2.2792 -0.9033 1.3374
Si 8.7685 0.9033 4.0171
Si 8.7725 -0.9033 1.3398
Bi 5.5259 0.7539 1.3386
Bi 5.5218 -0.7539 4.0159
O 4.0697 2.7660 1.3443
O 1.7258 0.0023 5.3540
O 1.7298 -0.0023 2.6767
O 3.8883 0.9736 4.0177
O 6.9821 2.7660 1.3329
O 3.8923 -0.9736 1.3404
O 7.1554 0.9736 4.0142
O 4.0657 -2.7660 4.0216
O 7.1595 -0.9736 1.3369
O 9.3219 -0.0023 0.0006
O 9.3179 0.0023 2.6779
O 6.9780 -2.7660 4.0102
```


[10]
A relaxed structure of LiIn2P. Source: Alexandria via LeMat-Bulk, functional PBE.

Calculated values
- Mass density: 5.385 g/cm3
- Calculated volume: 20.63 Å³/atom
- Total magnetization: 0.00 μB/f.u.
- DFT formation energy: -23 meV per atom

extended XYZ file:
```
4
Lattice="-2.0873 2.0873 4.7342 2.0873 -2.0873 4.7342 2.0873 2.0873 -4.7342" Properties=species:S:1:pos:R:3 pbc="T T T"
Li 0.0000 0.0000 0.0000
In 0.0000 0.0000 4.7342
In 0.0000 2.0873 2.3671
P 2.0873 0.0000 2.3671
```


[11]
A relaxed structure of Tm2TiGa. Source: Alexandria via LeMat-Bulk, functional PBE.

Calculated values
- Mass density: 8.289 g/cm3
- Energy above the lowest structure with this stoichiometry: 0.00 kcal/mol of atoms
- Calculated volume: 22.81 Å³/atom
- Total magnetization: 0.00 μB/f.u.
- DFT formation energy: -180 meV per atom

extended XYZ file:
```
4
Lattice="3.3801 0.0000 0.0000 0.0000 3.3801 0.0000 0.0000 0.0000 7.9863" Properties=species:S:1:pos:R:3 pbc="T T T"
Tm 0.0000 0.0000 1.9151
Tm 0.0000 0.0000 6.0712
Ti 1.6900 1.6900 3.9931
Ga 1.6900 1.6900 0.0000
```


[12]
A relaxed structure of Tb2ZrHg. Source: Alexandria via LeMat-Bulk, functional PBE.

Calculated values
- Mass density: 9.181 g/cm3
- Energy above the lowest structure with this stoichiometry: 2.30 kcal/mol of atoms
- Calculated volume: 27.57 Å³/atom
- Total magnetization: 0.00 μB/f.u.
- DFT formation energy: -93 meV per atom

extended XYZ file:
```
4
Lattice="1.7625 1.0176 10.2479 -1.7625 1.0176 10.2479 0.0000 -2.0351 10.2479" Properties=species:S:1:pos:R:3 pbc="T T T"
Tb 0.0000 0.0000 0.0000
Tb 0.0000 0.0000 5.2413
Zr 0.0000 0.0000 23.1233
Hg 0.0000 0.0000 18.0030
```


[13]
A relaxed structure of SrLaPt2. Source: Alexandria via LeMat-Bulk, functional PBE.

Calculated values
- Mass density: 9.065 g/cm3
- Energy above the lowest structure with this stoichiometry: 1.52 kcal/mol of atoms
- Calculated volume: 28.24 Å³/atom
- Total magnetization: 0.00 μB/f.u.
- DFT formation energy: -941 meV per atom

extended XYZ file:
```
4
Lattice="2.1324 1.2311 7.1723 -2.1324 1.2311 7.1723 0.0000 -2.4622 7.1723" Properties=species:S:1:pos:R:3 pbc="T T T"
Sr 0.0000 0.0000 0.0000
La 0.0000 0.0000 10.7585
Pt 0.0000 0.0000 5.2375
Pt 0.0000 0.0000 16.2795
```


[14]
A relaxed structure of K2BeZnF6. Source: Alexandria via LeMat-Bulk, functional PBE.

Calculated values
- Mass density: 3.695 g/cm3
- Calculated volume: 11.98 Å³/atom
- Total magnetization: 0.00 μB/f.u.
- E_tot: -4.559 eV per atom

extended XYZ file:
```
10
Lattice="-2.7652 2.7652 3.9177 2.7652 -2.7652 3.9177 2.7652 2.7652 -3.9177" Properties=species:S:1:pos:R:3 pbc="T T T"
K 2.7652 0.0000 1.9588
K 0.0000 2.7652 1.9588
Be 0.0000 0.0000 0.0000
Zn 0.0000 0.0000 3.9177
F 1.2901 1.2901 0.0000
F 1.4751 -1.4751 3.9177
F 0.0000 0.0000 1.8318
F 0.0000 0.0000 6.0036
F -1.4751 1.4751 3.9177
F 1.4751 1.4751 3.9177
```


[15]
A relaxed structure of Cd8H. Source: Alexandria via LeMat-Bulk, functional PBE.

Calculated values
- Mass density: 8.003 g/cm3
- Calculated volume: 20.76 Å³/atom
- Total magnetization: 0.00 μB/f.u.
- E_tot: -1.036 eV per atom

extended XYZ file:
```
9
Lattice="6.4067 0.0000 0.0000 -3.2033 5.5484 0.0000 0.0000 0.0000 5.2553" Properties=species:S:1:pos:R:3 pbc="T T T"
Cd 0.0000 1.8973 1.2255
Cd -1.5603 4.5997 1.2255
Cd 0.0000 3.6989 3.7882
Cd 1.6431 0.9486 4.0298
Cd 1.5603 4.5997 1.2255
Cd 3.2034 1.8495 1.4671
Cd 4.7636 0.9486 4.0298
Cd 3.2033 3.6511 4.0298
H 0.0000 0.0000 2.6277
```


[16]
A relaxed structure of Pr6ScTl. Source: Alexandria via LeMat-Bulk, functional PBE.

Calculated values
- Mass density: 6.970 g/cm3
- Calculated volume: 32.60 Å³/atom
- Total magnetization: 0.00 μB/f.u.
- DFT formation energy: -78 meV per atom

extended XYZ file:
```
8
Lattice="5.0456 0.0000 0.0000 0.0000 5.0456 0.0000 0.0000 0.0000 10.2446" Properties=species:S:1:pos:R:3 pbc="T T T"
Pr 0.0000 0.0000 0.0000
Pr 0.0000 0.0000 5.1223
Pr 0.0000 2.5228 2.5661
Pr 0.0000 2.5228 7.6785
Pr 2.5228 0.0000 2.5661
Pr 2.5228 0.0000 7.6785
Sc 2.5228 2.5228 0.0000
Tl 2.5228 2.5228 5.1223
```


[17]
A relaxed structure of Mn5Hg4. Source: Alexandria via LeMat-Bulk, functional PBE.

Calculated values
- Mass density: 10.850 g/cm3
- Energy above the lowest structure with this stoichiometry: 0.32 kcal/mol of atoms
- Calculated volume: 18.31 Å³/atom
- Total magnetization: 19.67 μB/f.u.
- DFT formation energy: 396 meV per atom

extended XYZ file:
```
18
Lattice="8.1458 0.0000 0.0000 -4.0729 7.0544 0.0000 0.0000 0.0000 5.7369" Properties=species:S:1:pos:R:3 pbc="T T T"
Mn -1.2569 2.1770 1.4342
Mn -2.8160 4.8775 4.3027
Mn 2.5137 0.0000 1.4342
Mn 1.2569 2.1770 4.3027
Mn 0.0000 4.7030 0.0000
Mn 0.0000 4.7030 2.8685
Mn 4.0729 2.3515 0.0000
Mn 4.0729 2.3515 2.8685
Mn 5.6320 0.0000 4.3027
Mn 2.8160 4.8775 1.4342
Hg 0.0000 0.0000 0.0000
Hg 0.0000 0.0000 2.8685
Hg -1.4905 2.5816 4.3027
Hg -2.5824 4.4728 1.4342
Hg 2.9810 0.0000 4.3027
Hg 1.4905 2.5816 1.4342
Hg 5.1648 0.0000 1.4342
Hg 2.5824 4.4728 4.3027
```


[18]
A relaxed structure of Ge3PdRh. Source: Alexandria via LeMat-Bulk, functional PBE.

Calculated values
- Mass density: 6.687 g/cm3
- Energy above the lowest structure with this stoichiometry: 0.00 kcal/mol of atoms
- Calculated volume: 21.22 Å³/atom
- Total magnetization: 0.00 μB/f.u.
- DFT formation energy: 313 meV per atom

extended XYZ file:
```
5
Lattice="4.7340 0.0000 0.0000 0.0000 4.7340 0.0000 0.0000 0.0000 4.7340" Properties=species:S:1:pos:R:3 pbc="T T T"
Ge 0.0000 0.0000 2.3670
Ge 0.0000 2.3670 0.0000
Ge 2.3670 0.0000 0.0000
Pd 2.3670 2.3670 2.3670
Rh 0.0000 0.0000 0.0000
```


[19]
A relaxed structure of Sr6Tl5Cd. Source: Alexandria via LeMat-Bulk, functional PBE.

Calculated values
- Mass density: 6.693 g/cm3
- Calculated volume: 34.32 Å³/atom
- Total magnetization: 0.00 μB/f.u.
- DFT formation energy: -414 meV per atom

extended XYZ file:
```
12
Lattice="5.7833 0.0000 0.0000 0.0000 8.1945 0.0000 -2.8218 0.0000 8.6908" Properties=species:S:1:pos:R:3 pbc="T T T"
Sr 0.0000 2.0476 0.0000
Sr 0.0000 6.1469 0.0000
Sr 0.0466 2.0420 5.8036
Sr 0.0466 6.1524 5.8036
Sr 2.9149 2.0420 2.8872
Sr 2.9149 6.1524 2.8872
Tl 0.0205 0.0000 2.8971
Tl 0.0254 4.0972 2.9049
Tl 2.8916 0.0000 0.0000
Tl 2.9361 4.0972 5.7859
Tl 2.9409 0.0000 5.7937
Cd 2.8916 4.0972 0.0000
```


[20]
A relaxed structure of Ti4GaIr2. Source: Alexandria via LeMat-Bulk, functional PBE.

Calculated values
- Mass density: 9.187 g/cm3
- Energy above the lowest structure with this stoichiometry: 0.00 kcal/mol of atoms
- Calculated volume: 16.67 Å³/atom
- Total magnetization: 0.00 μB/f.u.
- DFT formation energy: -564 meV per atom

extended XYZ file:
```
7
Lattice="2.1970 1.2684 6.9791 -2.1970 1.2684 6.9791 0.0000 -2.5369 6.9791" Properties=species:S:1:pos:R:3 pbc="T T T"
Ti 0.0000 0.0000 2.3873
Ti 0.0000 0.0000 7.7133
Ti 0.0000 0.0000 13.2238
Ti 0.0000 0.0000 18.5498
Ga 0.0000 0.0000 10.4686
Ir 0.0000 0.0000 5.1370
Ir 0.0000 0.0000 15.8001
```


[21]
A relaxed structure of MnCu2Pt. Source: Alexandria via LeMat-Bulk, functional PBE.

Calculated values
- Mass density: 11.499 g/cm3
- Calculated volume: 13.61 Å³/atom
- Total magnetization: 4.21 μB/f.u.
- DFT formation energy: -75 meV per atom

extended XYZ file:
```
4
Lattice="2.6626 -3.6196 0.0000 2.6626 3.6196 0.0000 0.0000 0.0000 2.8253" Properties=species:S:1:pos:R:3 pbc="T T T"
Mn 0.0000 0.0000 0.0000
Cu 1.3313 1.8098 1.4126
Cu 1.3313 -1.8098 1.4126
Pt 2.6626 0.0000 0.0000
```


[22]
A relaxed structure of Sm4HPb2. Source: Alexandria via LeMat-Bulk, functional PBE.

Calculated values
- Mass density: 8.789 g/cm3
- Calculated volume: 27.44 Å³/atom
- Total magnetization: 0.00 μB/f.u.
- E_tot: -4.727 eV per atom

extended XYZ file:
```
14
Lattice="6.4804 0.0000 0.0000 0.0000 6.6378 0.0000 -3.1457 0.0000 8.9320" Properties=species:S:1:pos:R:3 pbc="T T T"
Sm -0.7051 0.0040 2.6358
Sm -0.7051 3.3149 2.6358
Sm 2.2230 4.9783 0.5039
Sm 0.7771 4.9783 5.8229
Sm 2.5576 1.6594 3.1091
Sm 1.1117 1.6594 8.4281
Sm 4.0399 3.3229 6.2962
Sm 4.0399 6.6338 6.2962
H -1.1136 4.9783 7.1312
H 4.4484 1.6594 1.8008
Pb 1.1078 1.6594 0.2723
Pb 0.3463 1.6594 5.3724
Pb 2.9884 4.9783 3.5596
Pb 2.2269 4.9783 8.6597
```